Entry 1:
Entry from the Alexandria database: a geometry-optimized MoPdC2 structure (PBE-GGA).

Computed properties:
SG: No. 122
Fermi-level density of states: 0.347 states/eV per atom
offset from the most stable computed form: 0.0000 eV/atom
energy of formation: 720.1 meV/atom

The structure in POSCAR format:
```
MoPdC2
1.0
-2.374 2.374 4.663
2.374 -2.374 4.663
2.374 2.374 -4.663
Mo Pd C
2 2 4
direct
0.000 0.000 0.000
0.750 0.250 0.500
0.250 0.750 0.500
0.500 0.500 0.000
0.106 0.625 0.981
0.375 0.356 0.481
0.644 0.125 0.019
0.875 0.894 0.519
```


Entry 2:
Entry from the Alexandria database: a geometry-optimized RbMg2Br structure (PBE-GGA).

Computed properties:
SG: No. 122
Fermi-level density of states: 0.128 states/eV per atom
formation energy (no corrections): -0.277 eV/atom
offset from the most stable computed form: 0.0000 eV/atom

The structure in POSCAR format:
```
RbMg2Br
1.0
-4.893 4.893 3.227
4.893 -4.893 3.227
4.893 4.893 -3.227
Rb Mg Br
2 4 2
direct
0.000 0.000 0.000
0.750 0.250 0.500
0.171 0.625 0.046
0.375 0.421 0.546
0.579 0.125 0.954
0.875 0.829 0.454
0.250 0.750 0.500
0.500 0.500 0.000
```


Entry 3:
Entry from the Alexandria database: a geometry-optimized LaAg4 structure (PBE-GGA).

Computed properties:
SG: No. 229
Fermi-level density of states: 0.385 states/eV per atom
energy of formation: 698.6 meV/atom

The structure in POSCAR format:
```
LaAg4
1.0
-3.386 3.386 3.386
3.386 -3.386 3.386
3.386 3.386 -3.386
La Ag
1 4
direct
0.000 0.000 0.000
0.000 0.000 0.500
0.000 0.500 0.000
0.500 0.000 0.000
0.500 0.500 0.500
```


Number 1: VASP energy -7.898 eV per atom. Number 2: VASP energy -1.735 eV per atom. Number 3: VASP energy -2.568 eV per atom.